Entry 1:
A relaxed structure of Bi2HPb. Source: the Alexandria database, functional PBE.

Geometry as CIF:
```
data_Bi2HPb
_space_group_name_H-M_alt 'P 1'
_space_group_IT_number 1
_cell_length_a 6.447
_cell_length_b 6.447
_cell_length_c 6.447
_cell_angle_alpha 107.17
_cell_angle_beta 107.17
_cell_angle_gamma 114.17
loop_
_space_group_symop_operation_xyz
'x,y,z'
loop_
_atom_site_label
_atom_site_type_symbol
_atom_site_fract_x
_atom_site_fract_y
_atom_site_fract_z
_atom_site_occupancy
Bi1 Bi 0.008 0.625 0.883 1
Bi2 Bi 0.375 0.258 0.383 1
Bi3 Bi 0.742 0.125 0.117 1
Bi4 Bi 0.875 0.992 0.617 1
H1 H 0.000 0.000 0.000 1
H2 H 0.750 0.250 0.500 1
Pb1 Pb 0.250 0.750 0.500 1
Pb2 Pb 0.500 0.500 0.000 1
```

Summary:
Magnetic moment   0.00 μB/f.u.
Crystal system   tetragonal
Energy relative to the lowest polymorph listed for this composition   0.0 kJ/mol of formula units

---

Entry 2:
A relaxed structure of BiH2Pb. Source: the Alexandria database, functional PBE.

Geometry as CIF:
```
data_BiH2Pb
_space_group_name_H-M_alt 'P 1'
_space_group_IT_number 1
_cell_length_a 4.598
_cell_length_b 4.598
_cell_length_c 4.598
_cell_angle_alpha 60.00
_cell_angle_beta 60.00
_cell_angle_gamma 60.00
loop_
_space_group_symop_operation_xyz
'x,y,z'
loop_
_atom_site_label
_atom_site_type_symbol
_atom_site_fract_x
_atom_site_fract_y
_atom_site_fract_z
_atom_site_occupancy
Bi1 Bi 0.000 0.000 0.000 1
H1 H 0.250 0.250 0.250 1
H2 H 0.750 0.750 0.750 1
Pb1 Pb 0.500 0.500 0.500 1
```

Summary:
Magnetic moment   0.00 μB/f.u.
Crystal system   cubic
Energy relative to the lowest polymorph listed for this composition   121.0 kJ/mol of formula units

---

Entry 3:
A relaxed structure of Bi2HPb. Source: the Alexandria database, functional PBE.

Geometry as CIF:
```
data_Bi2HPb
_space_group_name_H-M_alt 'P 1'
_space_group_IT_number 1
_cell_length_a 5.287
_cell_length_b 5.287
_cell_length_c 5.287
_cell_angle_alpha 60.00
_cell_angle_beta 60.00
_cell_angle_gamma 60.00
loop_
_space_group_symop_operation_xyz
'x,y,z'
loop_
_atom_site_label
_atom_site_type_symbol
_atom_site_fract_x
_atom_site_fract_y
_atom_site_fract_z
_atom_site_occupancy
Bi1 Bi 0.250 0.250 0.250 1
Bi2 Bi 0.750 0.750 0.750 1
H1 H 0.000 0.000 0.000 1
Pb1 Pb 0.500 0.500 0.500 1
```

Summary:
Magnetic moment   0.00 μB/f.u.
Crystal system   cubic
Energy relative to the lowest polymorph listed for this composition   95.9 kJ/mol of formula units

---

Entry 4:
A relaxed structure of Bi3H2Pb. Source: the Alexandria database, functional PBE.

Geometry as CIF:
```
data_Bi3H2Pb
_space_group_name_H-M_alt 'P 1'
_space_group_IT_number 1
_cell_length_a 4.579
_cell_length_b 4.609
_cell_length_c 15.214
_cell_angle_alpha 89.03
_cell_angle_beta 89.79
_cell_angle_gamma 89.94
loop_
_space_group_symop_operation_xyz
'x,y,z'
loop_
_atom_site_label
_atom_site_type_symbol
_atom_site_fract_x
_atom_site_fract_y
_atom_site_fract_z
_atom_site_occupancy
Bi1 Bi 0.248 0.256 0.274 1
Bi2 Bi 0.249 0.250 0.477 1
Bi3 Bi 0.251 0.728 0.009 1
Bi4 Bi 0.749 0.272 0.991 1
Bi5 Bi 0.751 0.750 0.523 1
Bi6 Bi 0.752 0.744 0.726 1
H1 H 0.252 0.247 0.621 1
H2 H 0.252 0.753 0.887 1
H3 H 0.748 0.247 0.113 1
H4 H 0.748 0.753 0.379 1
Pb1 Pb 0.252 0.243 0.748 1
Pb2 Pb 0.748 0.757 0.252 1
```

Summary:
Magnetic moment   0.00 μB/f.u.
Crystal system   triclinic
Calculated total energy   -3.42 eV/atom